# LaMgB3

An optimized crystal structure of LaMgB3 (PBE, Alexandria).

abc: 4.335 4.335 4.335
angles: 90.00 90.00 90.00
Element x y z (fractional)
Mg 0.000 0.000 0.000
B 0.000 0.500 0.000
B 0.000 0.000 0.500
B 0.500 0.000 0.000
La 0.500 0.500 0.500

Calculated values
Raw total energy (eV/cell): -20.66
Total magnetization (μB per atom): 0.000
Space group: Pm-3m (221)
D(E_F) (states/eV/f.u.): 1.74